Below is an optimized crystal structure of Sm3AlGa2Pd9, with properties calculated at the PBE-GGA level.

The space group is P-3m1 (No. 164) and the conventional cell measures 5.7207, 5.7207 and 11.1527 Å, with angles of 90.00, 90.00 and 120.00 degrees. The asymmetric unit holds Sm at (0.0000, 0.0000, 0.0000), Sm at (0.3333, 0.6667, 0.7413), Al at (0.0000, 0.0000, 0.5000), Ga at (0.3333, 0.6667, 0.1693), Pd at (0.0000, 0.5000, 0.0000) and Pd at (0.1662, 0.3325, 0.3362).

Its total magnetization is 0.0 μB/f.u. The value obtained for the total energy is -5.329 eV/atom.

***

Below is an optimized crystal structure of K2Yb2O3, with properties calculated at the PBE-GGA level.

The space group is P2_1/c (No. 14) and the conventional cell measures 6.712, 6.944 and 6.998 Å, with angles of 90.00, 117.38 and 90.00 degrees. The asymmetric unit holds K at (0.154, 0.145, 0.420), Yb at (0.339, 0.616, 0.581), O at (0.000, 0.000, 0.000) and O at (0.391, 0.614, 0.279).

The calculation puts the energy relative to the elements, uncorrected at -2.120 eV/atom. Its total magnetization is 0.5 μB/f.u.

***

Below is an optimized crystal structure of YScTeI2, with properties calculated at the PBE-GGA level.

The space group is P4/mmm (No. 123) and the conventional cell measures 5.566, 5.566 and 5.707 Å, with angles of 90.00, 90.00 and 90.00 degrees. The asymmetric unit holds Y at (0.000, 0.000, 0.000), Sc at (0.500, 0.500, 0.500), Te at (0.500, 0.500, 0.000) and I at (0.000, 0.500, 0.500).

The calculation puts the energy relative to the elements, uncorrected at -0.480 eV/atom. As for the energy above the most stable polymorph in this dataset: 0 meV/atom. Its total magnetization is 1.2 μB/f.u.

***

Repeat the third record exactly.
Below is an optimized crystal structure of YScTeI2, with properties calculated at the PBE-GGA level.

The space group is P4/mmm (No. 123) and the conventional cell measures 5.566, 5.566 and 5.707 Å, with angles of 90.00, 90.00 and 90.00 degrees. The asymmetric unit holds Y at (0.000, 0.000, 0.000), Sc at (0.500, 0.500, 0.500), Te at (0.500, 0.500, 0.000) and I at (0.000, 0.500, 0.500).

The calculation puts the energy relative to the elements, uncorrected at -0.480 eV/atom. As for the energy above the most stable polymorph in this dataset: 0 meV/atom. Its total magnetization is 1.2 μB/f.u.